# IrIBr2

An optimized crystal structure of IrIBr2 (GGA-PBE, OQMD).

abc: 6.4990 11.5907 6.5537
angles: 90.00 108.14 90.00
With the nearest neighbours (Å) after each atom.
Element x y z (fractional)
Ir1 0.0000 0.1687 0.0000  4 Br 2.51-2.54, 2 I 2.65
Ir2 0.0000 0.8313 0.0000  4 Br 2.51-2.54, 2 I 2.65
Ir3 0.5000 0.3313 0.0000  4 Br 2.51-2.54, 2 I 2.65
Ir4 0.5000 0.6687 0.0000  4 Br 2.51-2.54, 2 I 2.65
I1 0.2285 0.0000 0.2377  2 Ir 2.65
I2 0.2715 0.5000 0.7623  2 Ir 2.65
I3 0.7285 0.5000 0.2377  2 Ir 2.65
I4 0.7715 0.0000 0.7623  2 Ir 2.65
Br1 0.2499 0.1788 0.7751  2 Ir 2.51-2.54
Br2 0.2501 0.3212 0.2249  2 Ir 2.51-2.54
Br3 0.2501 0.6788 0.2249  2 Ir 2.51-2.54
Br4 0.2499 0.8212 0.7751  2 Ir 2.51-2.54
Br5 0.7501 0.1788 0.2249  2 Ir 2.51-2.54
Br6 0.7499 0.3212 0.7751  2 Ir 2.51-2.54
Br7 0.7499 0.6788 0.7751  2 Ir 2.51-2.54
Br8 0.7501 0.8212 0.2249  2 Ir 2.51-2.54

* energy above the lowest structure with this stoichiometry: 0 meV/atom
* raw total energy: -3.65 eV per atom